[1]
A plane-wave DFT calculation with PBE was carried out for a relaxed structure of Zn2TeCl.

For the total energy, the calculation gives -2.220 eV/atom. The uncorrected formation energy comes out at -0.336 eV per atom.

The space group is Cm (No. 8) and the conventional cell measures 9.968, 4.247 and 6.204 Å, with angles of 90.00, 99.32 and 90.00 degrees. The asymmetric unit holds Zn at (0.000, 0.000, 0.000), Zn at (0.238, 0.000, 0.930), Te at (0.279, 0.500, 0.705) and Cl at (0.446, 0.000, 0.212).


[2]
A plane-wave DFT calculation with PBE was carried out for a relaxed structure of Zn2TeCl.

For the total energy, the calculation gives -2.202 eV/atom. The uncorrected formation energy comes out at -0.318 eV per atom.

The space group is C2/m (No. 12) and the conventional cell measures 7.824, 3.909 and 7.473 Å, with angles of 90.00, 120.80 and 90.00 degrees. The asymmetric unit holds Zn at (0.209, 0.000, 0.283), Te at (0.000, 0.000, 0.500) and Cl at (0.000, 0.500, 0.000).